Entry 1:
# ErPaSbN2 PBE optimized geometry
data_ErPaSbN2
_chemical_formula_sum 'Er1 Pa1 Sb1 N2'
_space_group_name_H-M_alt 'P 1'
_space_group_IT_number 1
_cell_length_a 3.9238
_cell_length_b 3.9238
_cell_length_c 7.1425
_cell_angle_alpha 105.94
_cell_angle_beta 105.94
_cell_angle_gamma 90.00
loop_
_space_group_symop_operation_xyz
'x,y,z'
loop_
_atom_site_label
_atom_site_type_symbol
_atom_site_fract_x
_atom_site_fract_y
_atom_site_fract_z
Er1 Er 0.8342 0.8342 0.6685
Pa1 Pa 0.1729 0.1729 0.3459
Sb1 Sb 0.5009 0.5009 0.0017
N1 N 0.7460 0.2460 0.4920
N2 N 0.2460 0.7460 0.4920
# Total magnetic moment in μB per cell: 0.0
# Energy relative to the elements, uncorrected in eV per atom: -1.461
# ρ in g/cm³: 8.981
# VASP energy in eV per atom: -8.43

***

Entry 2:
# ErPaSb2N PBE optimized geometry
data_ErPaSb2N
_chemical_formula_sum 'Er2 Pa2 Sb4 N2'
_space_group_name_H-M_alt 'P 1'
_space_group_IT_number 1
_cell_length_a 4.0958
_cell_length_b 4.0958
_cell_length_c 14.1395
_cell_angle_alpha 90.00
_cell_angle_beta 90.00
_cell_angle_gamma 90.00
loop_
_space_group_symop_operation_xyz
'x,y,z'
loop_
_atom_site_label
_atom_site_type_symbol
_atom_site_fract_x
_atom_site_fract_y
_atom_site_fract_z
Er1 Er 0.5000 0.0000 0.0860
Er2 Er 0.0000 0.5000 0.9140
Pa1 Pa 0.5000 0.0000 0.5784
Pa2 Pa 0.0000 0.5000 0.4216
Sb1 Sb 0.0000 0.5000 0.6977
Sb2 Sb 0.0000 0.5000 0.1391
Sb3 Sb 0.5000 0.0000 0.8609
Sb4 Sb 0.5000 0.0000 0.3023
N1 N 0.0000 0.0000 0.5000
N2 N 0.5000 0.5000 0.5000
# Total magnetic moment in μB per cell: 0.0
# Energy relative to the elements, uncorrected in eV per atom: -1.029
# ρ in g/cm³: 9.182
# VASP energy in eV per atom: -7.15

***

Entry 3:
# ErScPa2N4 PBE optimized geometry
data_ErScPa2N4
_chemical_formula_sum 'Er1 Sc1 Pa2 N4'
_space_group_name_H-M_alt 'P 1'
_space_group_IT_number 1
_cell_length_a 3.4015
_cell_length_b 5.8933
_cell_length_c 5.9548
_cell_angle_alpha 109.27
_cell_angle_beta 90.00
_cell_angle_gamma 90.00
loop_
_space_group_symop_operation_xyz
'x,y,z'
loop_
_atom_site_label
_atom_site_type_symbol
_atom_site_fract_x
_atom_site_fract_y
_atom_site_fract_z
Er1 Er 0.5000 0.5000 0.0000
Sc1 Sc 0.0000 0.0000 0.0000
Pa1 Pa 0.5000 0.0000 0.5000
Pa2 Pa 0.0000 0.5000 0.5000
N1 N 0.5000 0.2403 0.2415
N2 N 0.5000 0.7597 0.7585
N3 N 0.0000 0.2438 0.7551
N4 N 0.0000 0.7562 0.2449
# Total magnetic moment in μB per cell: 0.0
# Energy relative to the elements, uncorrected in eV per atom: -1.680
# ρ in g/cm³: 10.762
# VASP energy in eV per atom: -9.58